(1)
# GGA-PBE RePb3F, optimized geometry
# **SG**: Pm-3m (221)
# **Energy relative to the elements, uncorrected**: -0.099 eV per atom
# **E**: -0.1907 Ha/atom
# **Crystal system**: cubic
# **Spin magnetization**: 0.00 μB/cell
data_RePb3F
_symmetry_space_group_name_H-M 'P 1'
_symmetry_Int_Tables_number 1
_symmetry_space_group_name_Hall 'P 1'
_cell_length_a 5.292
_cell_length_b 5.292
_cell_length_c 5.292
_cell_angle_alpha 90.00
_cell_angle_beta 90.00
_cell_angle_gamma 90.00
loop_
_atom_site_label
_atom_site_fract_x
_atom_site_fract_y
_atom_site_fract_z
_atom_site_occupancy
Pb1 0.500 0.000 0.000 1
Pb2 0.000 0.000 0.500 1
Re1 0.000 0.000 0.000 1
F1 0.500 0.500 0.500 1
Pb3 0.000 0.500 0.000 1

(2)
# GGA-PBE KRb2LiTe, optimized geometry
# **SG**: P4/mmm (123)
# **Energy relative to the elements, uncorrected**: -0.467 eV per atom
# **E**: -0.0766 Ha/atom
# **Crystal system**: tetragonal
# **Spin magnetization**: 0.00 μB/cell
data_KRb2LiTe
_symmetry_space_group_name_H-M 'P 1'
_symmetry_Int_Tables_number 1
_symmetry_space_group_name_Hall 'P 1'
_cell_length_a 7.394
_cell_length_b 7.394
_cell_length_c 5.325
_cell_angle_alpha 90.00
_cell_angle_beta 90.00
_cell_angle_gamma 90.00
loop_
_atom_site_label
_atom_site_fract_x
_atom_site_fract_y
_atom_site_fract_z
_atom_site_occupancy
K1 0.500 0.500 0.500 1
Rb1 0.000 0.500 0.000 1
Li1 0.000 0.000 0.500 1
Te1 0.000 0.000 0.000 1
Rb2 0.500 0.000 0.000 1

(3)
# GGA-PBE GaSiW2, optimized geometry
# **SG**: Fm-3m (225)
# **Energy relative to the elements, uncorrected**: 0.292 eV per atom
# **E**: -0.3049 Ha/atom
# **Crystal system**: cubic
# **Spin magnetization**: 0.00 μB/cell
data_GaSiW2
_symmetry_space_group_name_H-M 'P 1'
_symmetry_Int_Tables_number 1
_symmetry_space_group_name_Hall 'P 1'
_cell_length_a 4.376
_cell_length_b 4.376
_cell_length_c 4.376
_cell_angle_alpha 60.00
_cell_angle_beta 60.00
_cell_angle_gamma 60.00
loop_
_atom_site_label
_atom_site_fract_x
_atom_site_fract_y
_atom_site_fract_z
_atom_site_occupancy
Ga1 0.500 0.500 0.500 1
Si1 0.000 0.000 0.000 1
W1 0.750 0.750 0.750 1
W2 0.250 0.250 0.250 1

(4)
# GGA-PBE BiTeIrN2, optimized geometry
# **SG**: P4/mmm (123)
# **Energy relative to the elements, uncorrected**: 2.096 eV per atom
# **E**: -0.1621 Ha/atom
# **Crystal system**: tetragonal
# **Spin magnetization**: 3.14 μB/cell
data_BiTeIrN2
_symmetry_space_group_name_H-M 'P 1'
_symmetry_Int_Tables_number 1
_symmetry_space_group_name_Hall 'P 1'
_cell_length_a 4.153
_cell_length_b 4.153
_cell_length_c 6.738
_cell_angle_alpha 90.00
_cell_angle_beta 90.00
_cell_angle_gamma 90.00
loop_
_atom_site_label
_atom_site_fract_x
_atom_site_fract_y
_atom_site_fract_z
_atom_site_occupancy
N1 0.500 0.000 0.000 1
N2 0.000 0.500 0.000 1
Ir1 0.500 0.500 0.500 1
Bi1 0.000 0.000 0.000 1
Te1 0.000 0.000 0.500 1

(5)
# GGA-PBE LiCdAgBr4, optimized geometry
# **SG**: Imma (74)
# **Energy relative to the elements, uncorrected**: -0.881 eV per atom
# **E**: -0.0973 Ha/atom
# **Crystal system**: orthorhombic
# **Spin magnetization**: 0.00 μB/cell
data_LiCdAgBr4
_symmetry_space_group_name_H-M 'P 1'
_symmetry_Int_Tables_number 1
_symmetry_space_group_name_Hall 'P 1'
_cell_length_a 8.152
_cell_length_b 8.234
_cell_length_c 8.234
_cell_angle_alpha 60.40
_cell_angle_beta 60.33
_cell_angle_gamma 60.33
loop_
_atom_site_label
_atom_site_fract_x
_atom_site_fract_y
_atom_site_fract_z
_atom_site_occupancy
Li1 0.359 0.391 0.891 1
Br1 0.762 0.746 0.729 1
Br2 0.238 0.253 0.753 1
Br3 0.755 0.253 0.753 1
Ag1 0.500 0.000 0.500 1
Br4 0.238 0.254 0.271 1
Cd1 0.000 0.000 0.000 1
Br5 0.762 0.747 0.247 1
Br6 0.245 0.747 0.247 1
Ag2 0.000 0.000 0.500 1
Br7 0.762 0.229 0.246 1
Cd2 0.000 0.500 0.500 1
Br8 0.238 0.771 0.754 1
Li2 0.641 0.609 0.109 1

(6)
# GGA-PBE HoPaZnIr, optimized geometry
# **Calculated formation energy**: -1.59 eV/f.u.
# **SG**: F-43m (216)
# **E**: -0.2370 Ha/atom
# **Crystal system**: cubic
# **Spin magnetization**: 0.00 μB/cell
data_HoPaZnIr
_symmetry_space_group_name_H-M 'P 1'
_symmetry_Int_Tables_number 1
_symmetry_space_group_name_Hall 'P 1'
_cell_length_a 4.936
_cell_length_b 4.936
_cell_length_c 4.936
_cell_angle_alpha 60.00
_cell_angle_beta 60.00
_cell_angle_gamma 60.00
loop_
_atom_site_label
_atom_site_fract_x
_atom_site_fract_y
_atom_site_fract_z
_atom_site_occupancy
Ir1 0.750 0.750 0.750 1
Zn1 0.250 0.250 0.250 1
Ho1 0.000 0.000 0.000 1
Pa1 0.500 0.500 0.500 1

(7)
# GGA-PBE Tb5Nd3Tm4, optimized geometry
# **Calculated formation energy**: 3.23 eV/f.u.
# **SG**: C2/m (12)
# **E**: -0.1596 Ha/atom
# **Crystal system**: monoclinic
# **Spin magnetization**: 0.32 μB/cell
data_Tb5Nd3Tm4
_symmetry_space_group_name_H-M 'P 1'
_symmetry_Int_Tables_number 1
_symmetry_space_group_name_Hall 'P 1'
_cell_length_a 5.719
_cell_length_b 9.401
_cell_length_c 9.616
_cell_angle_alpha 113.64
_cell_angle_beta 72.70
_cell_angle_gamma 72.29
loop_
_atom_site_label
_atom_site_fract_x
_atom_site_fract_y
_atom_site_fract_z
_atom_site_occupancy
Tm1 0.942 0.263 0.853 1
Tb1 0.668 0.730 0.933 1
Tm2 0.058 0.737 0.147 1
Tb2 0.500 0.500 0.500 1
Tm3 0.838 0.129 0.195 1
Tb3 0.273 0.069 0.385 1
Nd1 0.466 0.349 0.719 1
Tb4 0.332 0.270 0.067 1
Tb5 0.727 0.931 0.615 1
Nd2 0.534 0.651 0.281 1
Tm4 0.162 0.871 0.805 1
Nd3 0.000 0.500 0.500 1

(8)
# GGA-PBE Dy2O3, optimized geometry
# **SG**: P-3m1 (164)
# **Energy relative to the elements, uncorrected**: -3.531 eV per atom
# **E**: -0.3067 Ha/atom
# **Crystal system**: trigonal
# **Spin magnetization**: 0.00 μB/cell
data_Dy2O3
_symmetry_space_group_name_H-M 'P 1'
_symmetry_Int_Tables_number 1
_symmetry_space_group_name_Hall 'P 1'
_cell_length_a 3.679
_cell_length_b 3.679
_cell_length_c 5.882
_cell_angle_alpha 90.00
_cell_angle_beta 90.00
_cell_angle_gamma 120.00
loop_
_atom_site_label
_atom_site_fract_x
_atom_site_fract_y
_atom_site_fract_z
_atom_site_occupancy
Dy1 0.667 0.333 0.750 1
Dy2 0.333 0.667 0.250 1
O1 0.000 0.000 0.000 1
O2 0.667 0.333 0.355 1
O3 0.333 0.667 0.645 1

(9)
# GGA-PBE CdReTc, optimized geometry
# **Calculated formation energy**: 1.21 eV/f.u.
# **SG**: Fmm2 (42)
# **E**: -0.2758 Ha/atom
# **Crystal system**: orthorhombic
# **Spin magnetization**: 0.00 μB/cell
data_CdReTc
_symmetry_space_group_name_H-M 'P 1'
_symmetry_Int_Tables_number 1
_symmetry_space_group_name_Hall 'P 1'
_cell_length_a 7.672
_cell_length_b 7.445
_cell_length_c 2.768
_cell_angle_alpha 84.11
_cell_angle_beta 74.86
_cell_angle_gamma 21.03
loop_
_atom_site_label
_atom_site_fract_x
_atom_site_fract_y
_atom_site_fract_z
_atom_site_occupancy
Tc1 0.677 0.677 0.323 1
Re1 0.322 0.322 0.678 1
Cd1 0.001 0.001 0.999 1

(10)
# GGA-PBE Li12AlAg7, optimized geometry
# **Calculated formation energy**: -1.76 eV/f.u.
# **SG**: R-3 (148)
# **E**: -0.0890 Ha/atom
# **Crystal system**: trigonal
# **Spin magnetization**: 0.00 μB/cell
data_Li12AlAg7
_symmetry_space_group_name_H-M 'P 1'
_symmetry_Int_Tables_number 1
_symmetry_space_group_name_Hall 'P 1'
_cell_length_a 6.988
_cell_length_b 6.988
_cell_length_c 6.988
_cell_angle_alpha 92.46
_cell_angle_beta 92.46
_cell_angle_gamma 92.46
loop_
_atom_site_label
_atom_site_fract_x
_atom_site_fract_y
_atom_site_fract_z
_atom_site_occupancy
Ag1 0.375 0.039 0.150 1
Li1 0.256 0.125 0.736 1
Li2 0.149 0.487 0.616 1
Li3 0.384 0.851 0.513 1
Ag2 0.500 0.500 0.500 1
Li4 0.744 0.875 0.264 1
Ag3 0.039 0.150 0.375 1
Li5 0.616 0.149 0.487 1
Li6 0.851 0.513 0.384 1
Li7 0.875 0.264 0.744 1
Ag4 0.850 0.625 0.961 1
Li8 0.513 0.384 0.851 1
Li9 0.264 0.744 0.875 1
Ag5 0.625 0.961 0.850 1
Ag6 0.961 0.850 0.625 1
Li10 0.487 0.616 0.149 1
Li11 0.125 0.736 0.256 1
Al1 0.000 0.000 0.000 1
Ag7 0.150 0.375 0.039 1
Li12 0.736 0.256 0.125 1

(11)
# GGA-PBE NaScGe2As, optimized geometry
# **Calculated formation energy**: 3.53 eV/f.u.
# **SG**: P4/mmm (123)
# **E**: -0.1323 Ha/atom
# **Crystal system**: tetragonal
# **Spin magnetization**: 0.00 μB/cell
data_NaScGe2As
_symmetry_space_group_name_H-M 'P 1'
_symmetry_Int_Tables_number 1
_symmetry_space_group_name_Hall 'P 1'
_cell_length_a 5.090
_cell_length_b 5.493
_cell_length_c 5.090
_cell_angle_alpha 90.00
_cell_angle_beta 90.00
_cell_angle_gamma 90.00
loop_
_atom_site_label
_atom_site_fract_x
_atom_site_fract_y
_atom_site_fract_z
_atom_site_occupancy
Na1 0.000 0.500 0.000 1
Ge1 0.000 0.000 0.500 1
Ge2 0.500 0.000 0.000 1
As1 0.500 0.500 0.500 1
Sc1 0.000 0.000 0.000 1

(12)
# GGA-PBE AgMoBr2, optimized geometry
# **SG**: C2/m (12)
# **Energy relative to the elements, uncorrected**: 0.443 eV per atom
# **E**: -0.1402 Ha/atom
# **Crystal system**: monoclinic
# **Spin magnetization**: 0.00 μB/cell
data_AgMoBr2
_symmetry_space_group_name_H-M 'P 1'
_symmetry_Int_Tables_number 1
_symmetry_space_group_name_Hall 'P 1'
_cell_length_a 4.553
_cell_length_b 4.553
_cell_length_c 6.044
_cell_angle_alpha 80.62
_cell_angle_beta 80.62
_cell_angle_gamma 41.53
loop_
_atom_site_label
_atom_site_fract_x
_atom_site_fract_y
_atom_site_fract_z
_atom_site_occupancy
Mo1 0.750 0.750 0.750 1
Ag1 0.250 0.250 0.250 1
Br1 0.024 0.024 0.967 1
Br2 0.476 0.476 0.533 1

(13)
# GGA-PBE Be8HgAs6, optimized geometry
# **Calculated formation energy**: 0.04 eV/f.u.
# **SG**: R-3 (148)
# **E**: -0.1420 Ha/atom
# **Crystal system**: trigonal
# **Spin magnetization**: 0.00 μB/cell
data_Be8HgAs6
_symmetry_space_group_name_H-M 'P 1'
_symmetry_Int_Tables_number 1
_symmetry_space_group_name_Hall 'P 1'
_cell_length_a 6.454
_cell_length_b 6.454
_cell_length_c 6.454
_cell_angle_alpha 100.61
_cell_angle_beta 100.61
_cell_angle_gamma 100.61
loop_
_atom_site_label
_atom_site_fract_x
_atom_site_fract_y
_atom_site_fract_z
_atom_site_occupancy
Be1 0.180 0.459 0.600 1
As1 0.277 0.131 0.569 1
As2 0.569 0.277 0.131 1
As3 0.869 0.431 0.723 1
As4 0.131 0.569 0.277 1
Be2 0.541 0.400 0.820 1
Be3 0.282 0.282 0.282 1
As5 0.723 0.869 0.431 1
Be4 0.718 0.718 0.718 1
Be5 0.820 0.541 0.400 1
Be6 0.459 0.600 0.180 1
Be7 0.400 0.820 0.541 1
Be8 0.600 0.180 0.459 1
As6 0.431 0.723 0.869 1
Hg1 0.000 0.000 0.000 1